A geometry-optimized HfTiOsRu structure, computed with PBE-GGA.

Results
DFT formation energy: -715 meV per atom
VASP energy: -10.303 eV per atom
E above lowest polymorph: 0.02 eV/f.u.

Cell lengths 4.487, 4.487, 4.487 Å; angles 60.00, 60.00, 60.00 degrees
Positions (direct):
1 Ti 0.250 0.250 0.250
2 Ru 0.500 0.500 0.500
3 Hf 0.750 0.750 0.750
4 Os 0.000 0.000 0.000